Entry 1:
The following is a DFT calculation (PBE-GGA) of ZrMnSi2Sb after structural relaxation.

Summary:
For the uncorrected formation energy, the calculation gives 1.40 eV/atom.

Unit cell a=5.1028 b=5.1028 c=5.4073 alpha=90.00 beta=90.00 gamma=90.00
Closest atoms and distances in Å follow each position.
Space group P4/mmm (No. 123)
Inequivalent atoms, fractional coordinates:
Zr1 0.0000 0.0000 0.0000  2 Sb 2.70
Mn1 0.5000 0.5000 0.0000  4 Zr 3.61, 8 Si 3.72
Si1 0.0000 0.5000 0.5000  2 Sb 2.55
Sb1 0.0000 0.0000 0.5000  4 Si 2.55, 2 Zr 2.70

=====

Entry 2:
The following is a DFT calculation (PBE-GGA) of Pm5Ho2 after structural relaxation.

Summary:
For the energy relative to the lowest polymorph listed for this composition, the calculation gives 83.3 meV per atom. The formation energy is 0.108 eV/atom.

Unit cell a=11.8567 b=3.5344 c=11.7020 alpha=90.00 beta=104.49 gamma=90.00
Closest atoms and distances in Å follow each position.
Space group C2/m (No. 12)
Inequivalent atoms, fractional coordinates:
Pm1 0.0000 0.0000 0.0000  12 Pm 3.53-3.73
Pm2 0.0360 0.5000 0.2880  7 Pm 3.53-3.73, 5 Ho 3.58-3.73
Pm3 0.2356 0.0000 0.8639  1 Ho 3.46, 10 Pm 3.53-3.71
Ho1 0.1473 0.0000 0.5591  5 Ho 3.42-3.56, 6 Pm 3.46-3.73

=====

Entry 3:
The following is a DFT calculation (PBE-GGA) of K2Np3N6 after structural relaxation.

Summary:
For the uncorrected formation energy, the calculation gives -0.83 eV/atom.

Unit cell a=6.0337 b=10.4541 c=6.7878 alpha=90.00 beta=107.13 gamma=90.00
Closest atoms and distances in Å follow each position.
Space group C2/m (No. 12)
Inequivalent atoms, fractional coordinates:
K1 0.0000 0.1669 0.0000  6 N 3.02-3.04
Np1 0.0000 0.0000 0.5000  6 N 2.18-2.25
Np2 0.0000 0.3336 0.5000  6 N 2.19-2.25
N1 0.2126 0.1702 0.6484  3 Np 2.19-2.25
N2 0.2225 0.5000 0.6463  3 Np 2.18-2.24